Zr4PdRh2 GGA-PBE relaxed; electronic total energy = -8.234 eV per atom; space-group type = Cmmm (65); spin magnetization = 0.0 μB per cell
1.0
3.368 -4.608 0.000
3.368 4.608 0.000
0.000 0.000 4.513
Zr Pd Rh
4 1 2
direct
0.000 0.500 0.500
0.234 0.234 0.000
0.500 0.000 0.500
0.766 0.766 0.000
0.500 0.500 0.500
0.254 0.746 0.000
0.746 0.254 0.000